(1)
VASP calculation (PBE-GGA) on a geometry-optimized K2SnTe5 structure.

abc: 6.9578 6.9329 8.7537
angles: 113.35 113.43 90.00
Fractional positions:
Te 0.7404 0.7403 0.4811
Te 0.2847 0.2840 0.0230
Te 0.7384 0.2840 0.0230
Te 0.7385 0.7393 0.0231
K 0.7804 0.2803 0.5610
Te 0.2847 0.7393 0.0231
K 0.2806 0.7806 0.5613
Sn 0.9292 0.9292 0.8583

Computed properties:
symmetry = Imm2
raw total energy = -24.778 eV for the cell shown
total magnetization = 0.0 μB/f.u.
energy relative to the elements, uncorrected = -0.36 eV per atom


(2)
VASP calculation (PBE-GGA) on a geometry-optimized K2ThSnTe4 structure.

abc: 4.6451 8.1148 8.5397
angles: 107.72 90.00 90.00
Fractional positions:
Sn 0.0000 0.0000 0.0000
Te 0.5000 0.2468 0.2103
K 0.5000 0.0000 0.5000
Th 0.5000 0.5000 0.0000
K 0.0000 0.5000 0.5000
Te 0.0000 0.2685 0.7897
Te 0.5000 0.7532 0.7897
Te 0.0000 0.7315 0.2103

Computed properties:
symmetry = P2/m
raw total energy = -34.222 eV for the cell shown
total magnetization = 0.0 μB/f.u.
energy relative to the elements, uncorrected = -1.00 eV per atom


(3)
VASP calculation (PBE-GGA) on a geometry-optimized K3Th3SnTe8 structure.

abc: 9.1407 9.1394 9.8389
angles: 117.71 90.00 120.00
Fractional positions:
Te 0.2608 0.5216 0.2827
Te 0.2413 0.4825 0.7114
Te 0.2412 0.9706 0.7113
Te 0.2706 0.0294 0.2887
Th 0.0000 0.5000 0.5000
Te 0.7588 0.0294 0.2887
Th 0.5000 0.5000 0.5000
Te 0.7587 0.5175 0.2886
Sn 0.0000 0.0000 0.5000
K 0.5000 0.5000 0.0000
Te 0.7294 0.9706 0.7113
Th 0.5000 0.0000 0.5000
K 0.0000 0.5000 0.0000
K 0.0000 0.0000 0.0000
Te 0.7392 0.4784 0.7173

Computed properties:
symmetry = C2/m
raw total energy = -70.903 eV for the cell shown
total magnetization = 0.0 μB/f.u.
energy relative to the elements, uncorrected = -1.08 eV per atom


(4)
VASP calculation (PBE-GGA) on a geometry-optimized K2Th2SnTe6 structure.

abc: 7.9741 7.9741 8.7188
angles: 98.50 98.50 120.19
Fractional positions:
Th 0.6665 0.3335 0.5000
Te 0.2746 0.2746 0.2905
Te 0.5909 0.9321 0.2914
K 0.1633 0.8367 0.0000
Te 0.9321 0.5909 0.2914
Te 0.0679 0.4091 0.7086
K 0.8367 0.1633 0.0000
Te 0.7254 0.7254 0.7095
Sn 0.0000 0.0000 0.5000
Th 0.3335 0.6665 0.5000
Te 0.4091 0.0679 0.7086

Computed properties:
symmetry = C2/m
raw total energy = -51.647 eV for the cell shown
total magnetization = 0.0 μB/f.u.
energy relative to the elements, uncorrected = -1.07 eV per atom


(5)
VASP calculation (PBE-GGA) on a geometry-optimized K2TiSnTe structure.

abc: 6.2897 5.2809 6.2897
angles: 90.00 90.00 90.00
Site moments in Bohr magnetons follow the coordinates.
Fractional positions:
Sn 0.0000 0.0000 0.0000  0.00
Te 0.5000 0.5000 0.5000  -0.04
K 0.0000 0.0000 0.5000  0.00
K 0.5000 0.0000 0.0000  0.00
Ti 0.0000 0.5000 0.0000  0.06

Computed properties:
symmetry = P4/mmm
raw total energy = -15.497 eV for the cell shown
total magnetization = 0.0 μB/f.u.
energy relative to the elements, uncorrected = 0.35 eV per atom


(6)
VASP calculation (PBE-GGA) on a geometry-optimized K2TlSnTe4 structure.

abc: 7.6354 7.2709 7.2709
angles: 74.00 58.33 58.33
Fractional positions:
Te 0.5342 0.0000 0.3695
K 0.0000 0.5000 0.5000
Te 0.0963 0.3695 0.0000
Tl 0.0000 0.0000 0.0000
Te 0.9037 0.0000 0.6305
Te 0.4658 0.6305 0.0000
Sn 0.5000 0.0000 0.0000
K 0.5000 0.5000 0.5000

Computed properties:
symmetry = I-42m
raw total energy = -25.647 eV for the cell shown
total magnetization = 0.0 μB/f.u.
energy relative to the elements, uncorrected = -0.56 eV per atom


(7)
VASP calculation (PBE-GGA) on a geometry-optimized KTl2Sn2Te4 structure.

abc: 5.7248 8.5496 7.1484
angles: 89.87 90.00 109.56
Fractional positions:
Te 0.5435 0.0869 0.7213
K 0.0000 0.0000 0.0000
Tl 0.8313 0.6625 0.3510
Tl 0.1687 0.3375 0.6490
Te 0.1957 0.3913 0.1890
Te 0.8043 0.6087 0.8110
Sn 0.6416 0.2833 0.0716
Sn 0.3584 0.7167 0.9284
Te 0.4565 0.9131 0.2787

Computed properties:
symmetry = C2/m
raw total energy = -29.568 eV for the cell shown
total magnetization = 0.0 μB/f.u.
energy relative to the elements, uncorrected = -0.35 eV per atom


(8)
VASP calculation (PBE-GGA) on a geometry-optimized KTl2SnTe4 structure.

abc: 9.2331 9.2331 9.0198
angles: 119.26 119.26 90.14
Fractional positions:
K 0.0000 0.5000 0.0000
Sn 0.5000 0.5000 0.5000
K 0.0000 0.5000 0.5000
Tl 0.5000 0.0000 0.5000
Te 0.2587 0.2412 0.0156
Tl 0.5000 0.5000 0.0000
Te 0.7187 0.2362 0.4773
Tl 0.5000 0.0000 0.0000
Tl 0.0000 0.0000 0.5000
Te 0.2588 0.2413 0.4844
Te 0.2638 0.7813 0.0227
Te 0.7362 0.2187 0.9773
Te 0.2813 0.7638 0.5227
Sn 0.0000 0.0000 0.0000
Te 0.7413 0.7588 0.9844
Te 0.7412 0.7587 0.5156

Computed properties:
symmetry = Imma
raw total energy = -49.641 eV for the cell shown
total magnetization = 0.0 μB/f.u.
energy relative to the elements, uncorrected = -0.30 eV per atom


(9)
VASP calculation (PBE-GGA) on a geometry-optimized K4Tm3SnTe8 structure.

abc: 8.9492 9.7214 8.9501
angles: 117.44 120.00 90.00
Fractional positions:
Te 0.2644 0.2935 0.5288
K 0.0000 0.0000 0.0000
Sn 0.0000 0.5000 0.0000
Te 0.2362 0.7040 0.9680
K 0.5000 0.0000 0.0000
Te 0.7318 0.7040 0.9680
Te 0.7356 0.7065 0.4712
Te 0.2682 0.2960 0.0320
K 0.5000 0.0000 0.5000
Tm 0.0000 0.5000 0.5000
Te 0.2363 0.7040 0.4725
K 0.0000 0.0000 0.5000
Te 0.7637 0.2960 0.5275
Te 0.7638 0.2960 0.0320
Tm 0.5000 0.5000 0.0000
Tm 0.5000 0.5000 0.5000

Computed properties:
symmetry = R-3m
raw total energy = -65.522 eV for the cell shown
total magnetization = 0.0 μB/f.u.
energy relative to the elements, uncorrected = -1.16 eV per atom


(10)
VASP calculation (PBE-GGA) on a geometry-optimized KTm2Sn3Te6 structure.

abc: 4.3767 9.6518 10.0225
angles: 100.37 102.61 90.00
Fractional positions:
Te 0.6676 0.5639 0.3352
Te 0.3176 0.8843 0.6352
Sn 0.8398 0.1715 0.6796
Tm 0.8293 0.6658 0.6586
Te 0.0155 0.2753 0.0309
Te 0.6824 0.1157 0.3648
Tm 0.1707 0.3342 0.3414
Sn 0.5000 0.5000 0.0000
Te 0.9845 0.7247 0.9691
K 0.5000 0.0000 0.0000
Sn 0.1602 0.8285 0.3204
Te 0.3324 0.4361 0.6648

Computed properties:
symmetry = C2/m
raw total energy = -49.499 eV for the cell shown
total magnetization = 0.0 μB/f.u.
energy relative to the elements, uncorrected = -0.72 eV per atom


(11)
VASP calculation (PBE-GGA) on a geometry-optimized KTmSnTe3 structure.

abc: 4.3267 9.0784 12.5573
angles: 90.00 90.00 103.79
Fractional positions:
K 0.3027 0.6054 0.2500
Te 0.9961 0.9922 0.7500
Tm 0.0000 0.0000 0.0000
Sn 0.6175 0.2350 0.2500
Tm 0.0000 0.0000 0.5000
Te 0.3796 0.7592 0.4985
K 0.6973 0.3946 0.7500
Te 0.6204 0.2408 0.5015
Sn 0.3825 0.7650 0.7500
Te 0.6204 0.2408 0.9985
Te 0.3796 0.7592 0.0015
Te 0.0039 0.0078 0.2500

Computed properties:
symmetry = Cmcm
raw total energy = -48.305 eV for the cell shown
total magnetization = 0.0 μB/f.u.
energy relative to the elements, uncorrected = -0.86 eV per atom


(12)
VASP calculation (PBE-GGA) on a geometry-optimized K4U3SnTe8 structure.

abc: 9.1913 9.7340 9.1904
angles: 118.19 120.00 90.00
Site moments in Bohr magnetons follow the coordinates.
Fractional positions:
Te 0.7598 0.2914 0.0314  -0.05
K 0.0000 0.0000 0.5000  0.00
Te 0.7598 0.2913 0.5196  -0.05
Sn 0.0000 0.5000 0.0000  0.00
U 0.5000 0.5000 0.5000  2.63
Te 0.2402 0.7087 0.4804  -0.05
K 0.5000 0.0000 0.0000  0.00
Te 0.2716 0.2914 0.0314  -0.05
K 0.5000 0.0000 0.5000  0.00
U 0.0000 0.5000 0.5000  2.63
Te 0.7284 0.7086 0.9686  -0.05
U 0.5000 0.5000 0.0000  2.63
Te 0.2402 0.7086 0.9686  -0.05
Te 0.7366 0.7099 0.4733  -0.06
K 0.0000 0.0000 0.0000  0.00
Te 0.2634 0.2901 0.5267  -0.06

Computed properties:
symmetry = R-3m
raw total energy = -80.553 eV for the cell shown
total magnetization = 8.0 μB/f.u.
energy relative to the elements, uncorrected = -0.82 eV per atom


Among the records above, which one has the lowest raw total energy?
K4U3SnTe8


Which formula does entry 2 have?
K2ThSnTe4


What is the formula in the tenth record?
KTm2Sn3Te6


Which value of total magnetization does entry 11 give?
0.0 μB/f.u.